This record from the Alexandria database describes a relaxed La4TlOs crystal. The functional is PBE.

Cell lengths 6.391, 9.358, 8.237 Å; angles 114.83, 99.85, 112.45 degrees
Element x y z (fractional)
La  0.089  0.198  0.842
La  0.769  0.718  0.664
La  0.252  0.643  0.842
La  0.395  0.946  0.664
La  0.605  0.054  0.336
La  0.748  0.357  0.158
La  0.231  0.282  0.336
La  0.911  0.802  0.158
Tl  0.371  0.621  0.242
Tl  0.629  0.379  0.758
Os  0.251  0.001  0.002
Os  0.749  0.999  0.998

Computed properties:
volume: 31.633 Å³ per atom
formation enthalpy at 0 K: -263 meV/atom

***

This record from the Alexandria database describes a relaxed Rb2AgRuO6 crystal. The functional is PBE.

Cell lengths 5.516, 6.226, 6.226 Å; angles 120.00, 90.00, 90.00 degrees
Element x y z (fractional)
Rb  0.218  0.333  0.667
Rb  0.782  0.667  0.333
Ag  0.500  0.000  0.000
Ru  0.000  0.000  0.000
O  0.788  0.142  0.284
O  0.788  0.142  0.858
O  0.788  0.716  0.858
O  0.212  0.858  0.142
O  0.212  0.284  0.142
O  0.212  0.858  0.716

Computed properties:
volume: 18.516 Å³ per atom
formation energy from raw total energies: -0.710 eV per atom

***

This record from the Alexandria database describes a relaxed Te4Mo3WSe2S2 crystal. The functional is PBE.

Cell lengths 3.399, 3.399, 33.864 Å; angles 90.00, 90.00, 120.00 degrees
Element x y z (fractional)
Te  0.667  0.333  0.317
Te  0.000  0.000  0.433
Te  0.000  0.000  0.544
Te  0.667  0.333  0.205
Mo  0.667  0.333  0.045
Mo  0.667  0.333  0.489
Mo  0.000  0.000  0.708
W  0.000  0.000  0.261
Se  0.667  0.333  0.756
Se  0.667  0.333  0.659
S  0.000  0.000  0.001
S  0.000  0.000  0.090

Computed properties:
volume: 28.234 Å³ per atom
formation energy from raw total energies: -0.423 eV per atom

***

Number 3 is which compound? Te4Mo3WSe2S2

***

Look up the volume of the third one. 28.234 Å³ per atom

***

What did the third record say?
This record from the Alexandria database describes a relaxed Te4Mo3WSe2S2 crystal. The functional is PBE.

Cell lengths 3.399, 3.399, 33.864 Å; angles 90.00, 90.00, 120.00 degrees
Element x y z (fractional)
Te  0.667  0.333  0.317
Te  0.000  0.000  0.433
Te  0.000  0.000  0.544
Te  0.667  0.333  0.205
Mo  0.667  0.333  0.045
Mo  0.667  0.333  0.489
Mo  0.000  0.000  0.708
W  0.000  0.000  0.261
Se  0.667  0.333  0.756
Se  0.667  0.333  0.659
S  0.000  0.000  0.001
S  0.000  0.000  0.090

Computed properties:
volume: 28.234 Å³ per atom
formation energy from raw total energies: -0.423 eV per atom